CdAsSe | Alexandria via LeMat-Bulk | PBE | optimized geometry; energy above the most stable polymorph in this dataset = 114 meV/atom; uncorrected formation energy = 0.23 eV/atom; crystal system = trigonal
1.0
-1.658 -4.111 -2.761
4.039 2.836 -1.709
1.790 -1.686 1.435
Cd Se As
1 1 1
direct
0.333 0.667 0.665
0.667 0.333 0.668
0.000 0.000 0.667



PrSm2Sn9 | Alexandria via LeMat-Bulk | PBE | optimized geometry; calculated formation energy = -0.49 eV/atom; crystal system = tetragonal
1.0
-1.242 2.211 4.000
-4.571 -0.641 -1.064
0.137 -12.647 7.033
Sn Pr Sm
9 1 2
direct
0.500 0.500 0.665
0.500 0.500 0.000
0.000 0.500 0.169
0.000 0.500 0.831
0.500 0.000 0.500
0.000 0.500 0.500
0.500 0.500 0.335
0.500 0.000 0.831
0.500 0.000 0.169
0.000 0.000 0.000
0.000 0.000 0.335
0.000 0.000 0.665



SrCaNd2Se4 | Alexandria via LeMat-Bulk | PBE | optimized geometry; uncorrected formation energy = -1.91 eV/atom; crystal system = monoclinic
1.0
-0.228 3.923 1.591
-6.865 -1.474 2.653
0.592 -2.719 6.792
Sr Se Ca Nd
1 4 1 2
direct
0.500 0.500 0.000
0.000 0.247 0.257
0.500 0.251 0.744
0.000 0.753 0.743
0.500 0.749 0.256
0.000 0.500 0.500
0.000 0.000 0.000
0.500 0.000 0.500



| no. | DFT total energy (eV/atom) |
| --- | --- |
| 1 | -2.78 |
| 2 | -4.67 |
| 3 | -5.30 |